## Hf3TiCr (GGA-PBE)

Data for a relaxed Hf3TiCr crystal.

Cell: 4.817 4.817 4.817 Å, 90.00 90.00 90.00°
Site moments in Bohr magnetons follow the coordinates.
Atoms (fractional coordinates):
Hf1 0.500 0.000 0.000  0.08
Hf2 0.000 0.500 0.000  0.02
Hf3 0.000 0.000 0.500  0.03
Cr1 0.500 0.500 0.500  -0.24
Ti1 0.000 0.000 0.000  0.00

Distance to the lowest polymorph of the same formula, eV per atom: 0.7406
Energy, eV per atom: -8.05
DFT formation energy, meV per atom: 1425
Symmetry: Pm-3m, No. 221